1.
{"formula": "LiMgIn2", "functional": "SCAN", "state": "PBEsol geometry", "lattice_angstrom": [[-0.426, -1.584, 2.945], [-3.993, -1.024, -3.057], [3.678, -3.774, -1.498]], "species": ["Mg", "In", "In", "Li"], "frac_coords": [[0.500, 0.000, 0.000], [0.745, 0.490, 0.739], [0.255, 0.510, 0.261], [0.000, 0.000, 0.500]], "dft_energy_ry_per_atom": -1.3762, "space_group": "C2/m, No. 12", "formation_enthalpy_0k_ev_per_atom": -0.1896, "crystal_system": "monoclinic"}

***

2.
{"formula": "LiMgIn2", "functional": "SCAN", "state": "PBEsol geometry", "lattice_angstrom": [[4.430, 0.000, 0.000], [0.000, 4.430, 0.000], [-2.215, -2.215, 4.274]], "species": ["Mg", "In", "In", "Li"], "frac_coords": [[0.500, 0.500, 0.000], [0.750, 0.250, 0.500], [0.250, 0.750, 0.500], [0.000, 0.000, 0.000]], "dft_energy_ry_per_atom": -1.3835, "space_group": "I4/mmm, No. 139", "formation_enthalpy_0k_ev_per_atom": -0.2897, "crystal_system": "tetragonal"}

***

3.
{"formula": "LiMgIn2", "functional": "SCAN", "state": "PBEsol geometry", "lattice_angstrom": [[-3.430, 1.553, -2.274], [-2.487, -3.307, 1.493], [1.778, 3.326, 3.846]], "species": ["Mg", "In", "In", "Li"], "frac_coords": [[0.250, 0.750, 0.500], [0.000, 0.000, 0.000], [0.750, 0.250, 0.500], [0.500, 0.500, 0.000]], "dft_energy_ry_per_atom": -1.3805, "space_group": "I-4m2, No. 119", "formation_enthalpy_0k_ev_per_atom": -0.2484, "crystal_system": "tetragonal"}

***

4.
{"formula": "LiMgIn2", "functional": "SCAN", "state": "PBEsol geometry", "lattice_angstrom": [[-0.833, 2.987, 0.284], [-5.127, -1.458, 0.290], [2.038, 0.100, 4.933]], "species": ["Mg", "In", "In", "Li"], "frac_coords": [[0.500, 0.500, 0.500], [0.000, 0.500, 0.000], [0.000, 0.000, 0.500], [0.500, 0.000, 0.000]], "dft_energy_ry_per_atom": -1.3828, "space_group": "Cmmm, No. 65", "formation_enthalpy_0k_ev_per_atom": -0.2804, "crystal_system": "orthorhombic"}

***

5.
{"formula": "LiMgIn2", "functional": "SCAN", "state": "PBEsol geometry", "lattice_angstrom": [[-2.601, 0.025, 2.791], [-0.970, -3.585, -0.872], [4.100, -2.043, 3.840]], "species": ["Mg", "In", "In", "Li"], "frac_coords": [[0.500, 0.500, 0.752], [0.000, 0.000, 0.995], [0.500, 0.500, 0.262], [0.000, 0.000, 0.492]], "dft_energy_ry_per_atom": -1.3766, "space_group": "P4mm, No. 99", "formation_enthalpy_0k_ev_per_atom": -0.1951, "crystal_system": "tetragonal"}

***

6.
{"formula": "LiMgIn2", "functional": "SCAN", "state": "PBEsol geometry", "lattice_angstrom": [[3.090, 0.000, 0.000], [0.000, 4.305, 0.000], [0.000, 0.000, 6.300]], "species": ["Mg", "In", "In", "Li"], "frac_coords": [[0.500, 0.500, 0.500], [0.000, 0.000, 0.758], [0.000, 0.000, 0.242], [0.500, 0.500, 0.000]], "dft_energy_ry_per_atom": -1.3832, "space_group": "Pmmm, No. 47", "formation_enthalpy_0k_ev_per_atom": -0.2852, "crystal_system": "orthorhombic"}

***

7.
{"formula": "LiMgIn2", "functional": "SCAN", "state": "PBEsol geometry", "lattice_angstrom": [[-2.757, 1.203, -0.928], [0.095, -3.090, -4.286], [-1.128, -3.866, 3.676]], "species": ["Mg", "In", "In", "Li"], "frac_coords": [[0.751, 0.242, 0.503], [0.000, 0.016, 0.001], [0.246, 0.730, 0.493], [0.502, 0.512, 0.004]], "dft_energy_ry_per_atom": -1.3780, "space_group": "Cm, No. 8", "formation_enthalpy_0k_ev_per_atom": -0.2144, "crystal_system": "monoclinic"}

***

8.
{"formula": "LiMgIn2", "functional": "SCAN", "state": "PBEsol geometry", "lattice_angstrom": [[4.339, 0.000, 0.000], [0.000, 4.396, 0.000], [0.000, 0.000, 4.396]], "species": ["Mg", "In", "In", "Li"], "frac_coords": [[0.500, 0.000, 0.000], [0.000, 0.000, 0.500], [0.000, 0.500, 0.000], [0.500, 0.500, 0.500]], "dft_energy_ry_per_atom": -1.3833, "space_group": "P4/mmm, No. 123", "formation_enthalpy_0k_ev_per_atom": -0.2867, "crystal_system": "tetragonal"}